Computed, not measured: TcSbP2 at its PBEsol-relaxed geometry at the SCAN level of DFT.

```
4
Lattice="3.418 0.000 -0.002 0.000 4.452 0.000 -0.746 0.000 4.517" Properties=species:S:1:pos:R:3 pbc="T T T"
P 0.502 0.000 1.540
P 2.170 0.000 2.975
Sb 1.709 2.226 -0.001
Tc -0.373 2.226 2.259
```

spin magnetization	0.00	μB/cell
SG	P2/m
uncorrected energy	-23.12	eV/atom
formation energy without anion corrections	162	meV/atom

***

Computed, not measured: Ba2Pb at its PBEsol-relaxed geometry at the SCAN level of DFT.

```
9
Lattice="-2.595 -4.656 -0.428 0.866 -1.314 9.032 -7.335 4.392 -3.311" Properties=species:S:1:pos:R:3 pbc="T T T"
Pb -4.601 2.490 0.804
Pb -1.868 0.588 4.918
Pb -1.297 -2.328 -0.214
Ba -4.801 2.285 4.246
Ba -1.891 1.132 -0.854
Ba -0.791 -3.096 5.065
Ba 0.223 -0.339 2.329
Ba -5.585 0.239 -2.149
Ba -3.985 -1.049 2.163
```

spin magnetization	0.00	μB/cell
SG	P-62m
uncorrected energy	-52.36	eV/atom
formation energy from the elements	-0.728	eV/atom

***

Computed, not measured: CaHf2CrIr at its PBEsol-relaxed geometry at the SCAN level of DFT.

```
5
Lattice="-2.124 1.091 -3.118 2.693 -2.803 -2.815 -3.007 -3.661 0.768" Properties=species:S:1:pos:R:3 pbc="T T T"
Hf -1.504 -1.830 0.384
Hf 1.347 -1.401 -1.408
Ca 0.000 0.000 0.000
Cr -1.062 0.545 -1.559
Ir -1.219 -2.687 -2.582
```

spin magnetization	0.00	μB/cell
SG	P4/mmm
uncorrected energy	-42.88	eV/atom
formation energy from the elements	2.021	eV/atom

***

Computed, not measured: LiPb2 at its PBEsol-relaxed geometry at the SCAN level of DFT.

```
3
Lattice="-3.426 -1.656 1.140 1.913 -1.990 2.856 -0.009 5.547 1.109" Properties=species:S:1:pos:R:3 pbc="T T T"
Li 0.000 0.000 0.000
Pb -0.512 2.492 2.080
Pb -1.010 -0.592 3.026
```

spin magnetization	0.00	μB/cell
SG	I4/mmm
uncorrected energy	-51.52	eV/atom
formation energy from the elements	-0.203	eV/atom

***

Computed, not measured: Tl2GeSb at its PBEsol-relaxed geometry at the SCAN level of DFT.

```
4
Lattice="5.250 0.000 0.000 2.625 4.547 0.000 2.625 1.516 4.287" Properties=species:S:1:pos:R:3 pbc="T T T"
Tl 2.625 1.516 1.072
Tl 7.875 4.547 3.215
Ge 0.000 0.000 0.000
Sb 5.250 3.031 2.143
```

spin magnetization	0.00	μB/cell
SG	Fm-3m
uncorrected energy	-49.95	eV/atom
formation energy without anion corrections	312	meV/atom

***

Computed, not measured: SrMnSN2 at its PBEsol-relaxed geometry at the SCAN level of DFT.

```
5
Lattice="4.560 0.000 0.000 0.000 4.560 0.000 0.000 0.000 5.701" Properties=species:S:1:pos:R:3 pbc="T T T"
Sr 0.000 0.000 0.000
N 2.280 0.000 0.000
N 0.000 2.280 0.000
Mn 2.280 2.280 2.850
S 0.000 0.000 2.850
```

spin magnetization	9.30	μB/cell
SG	P4/mmm
uncorrected energy	-12.51	eV/atom
formation energy without anion corrections	1242	meV/atom

***

Computed, not measured: CaScFe2 at its PBEsol-relaxed geometry at the SCAN level of DFT.

```
4
Lattice="4.078 0.000 0.000 0.000 3.537 0.000 -2.039 0.000 5.319" Properties=species:S:1:pos:R:3 pbc="T T T"
Sc 0.000 0.000 1.385
Fe 2.039 1.769 1.928
Fe 2.039 0.000 3.228
Ca 0.000 1.769 4.334
```

spin magnetization	3.80	μB/cell
SG	Amm2
uncorrected energy	-14.78	eV/atom
formation energy from the elements	0.264	eV/atom

***

Computed, not measured: CaSc2BeAl at its PBEsol-relaxed geometry at the SCAN level of DFT.

```
5
Lattice="4.840 0.000 0.000 0.000 4.840 0.000 0.000 0.000 5.164" Properties=species:S:1:pos:R:3 pbc="T T T"
Sc 2.420 0.000 0.000
Sc 0.000 2.420 0.000
Ca 0.000 0.000 0.000
Be 2.420 2.420 2.582
Al 0.000 0.000 2.582
```

spin magnetization	0.29	μB/cell
SG	P4/mmm
uncorrected energy	-8.39	eV/atom
formation energy from the elements	1.654	eV/atom

***

Computed, not measured: ZrHg2 at its PBEsol-relaxed geometry at the SCAN level of DFT.

```
6
Lattice="4.879 0.000 0.000 -2.439 4.225 0.000 0.000 0.000 6.024" Properties=species:S:1:pos:R:3 pbc="T T T"
Hg 0.000 0.000 0.000
Hg 0.000 0.000 3.012
Hg 0.000 2.817 1.506
Hg 2.439 1.408 4.518
Zr 2.439 1.408 1.506
Zr 0.000 2.817 4.518
```

spin magnetization	0.00	μB/cell
SG	P6_3/mmc
uncorrected energy	-55.87	eV/atom
formation energy from the elements	-0.195	eV/atom

***

Computed, not measured: SmCo5P3 at its PBEsol-relaxed geometry at the SCAN level of DFT.

```
36
Lattice="3.621 0.000 0.000 0.000 10.226 0.000 0.000 0.000 11.636" Properties=species:S:1:pos:R:3 pbc="T T T"
Co 2.716 2.198 5.923
Co 2.716 2.916 0.105
Co 2.716 5.425 0.791
Co 2.716 7.358 3.769
Co 0.905 2.244 2.049
Co 2.716 3.919 9.339
Co 0.905 4.154 5.692
Co 2.716 7.982 9.587
Co 2.716 1.194 3.521
Co 0.905 4.801 10.845
Co 0.905 0.312 5.027
Co 0.905 9.032 8.114
Co 0.905 6.307 2.296
Co 0.905 2.869 7.867
Co 0.905 0.959 11.510
Co 2.716 9.914 6.609
Co 0.905 7.311 11.531
Co 2.716 9.268 0.126
Co 0.905 8.029 5.713
Co 2.716 6.072 5.944
P 0.905 9.164 10.378
P 2.716 9.373 4.536
P 0.905 6.175 4.561
P 2.716 7.916 7.317
P 2.716 7.424 1.500
P 0.905 2.311 4.318
P 0.905 2.803 10.136
P 2.716 4.051 7.075
P 2.716 1.062 1.257
P 0.905 0.853 7.100
P 2.716 5.967 10.353
P 0.905 4.260 1.282
Sm 2.716 0.859 9.281
Sm 0.905 9.367 2.355
Sm 2.716 4.254 3.463
Sm 0.905 5.972 8.173
```

spin magnetization	7.49	μB/cell
SG	Pnma
uncorrected energy	-18.76	eV/atom
formation energy from the elements	-0.745	eV/atom

***

Computed, not measured: La3Mg at its PBEsol-relaxed geometry at the SCAN level of DFT.

```
4
Lattice="3.578 0.000 0.000 0.000 4.926 0.000 0.000 0.000 7.132" Properties=species:S:1:pos:R:3 pbc="T T T"
La 1.789 2.463 5.433
La 0.000 0.000 3.566
La 1.789 2.463 1.700
Mg 0.000 0.000 0.000
```

spin magnetization	0.01	μB/cell
SG	Pmmm
uncorrected energy	-33.61	eV/atom
formation energy from the elements	-0.038	eV/atom

***

Computed, not measured: CaTc2Sn2 at its PBEsol-relaxed geometry at the SCAN level of DFT.

```
5
Lattice="4.735 0.000 0.000 0.000 4.735 0.000 -2.367 -2.367 4.851" Properties=species:S:1:pos:R:3 pbc="T T T"
Tc 0.000 0.000 3.770
Tc 2.367 2.367 1.081
Sn 2.367 0.000 2.426
Sn 0.000 2.367 2.426
Ca 0.000 0.000 0.000
```

spin magnetization	0.00	μB/cell
SG	I4/mmm
uncorrected energy	-30.40	eV/atom
formation energy from the elements	-0.072	eV/atom

***

Among the records above, which one has the highest spin magnetization? SrMnSN2

***

Which value of uncorrected energy does entry 7 give? -14.78 eV/atom

***

Number 7 is which compound? CaScFe2